The following is a DFT calculation (GGA+U) of a relaxed structure of Ac2PaCo3O12.

Cell: 6.563 6.563 6.563 Å, 63.08 63.08 63.08°
Last column: magnetic moment on the atom in μB.
Fractional coordinates of all 18 atoms:
O: 0.268 0.268 0.873  0.00
O: 0.268 0.873 0.268  0.00
O: 0.426 0.861 0.861  0.12
O: 0.873 0.268 0.268  0.00
O: 0.861 0.861 0.426  0.12
Co: 0.000 0.500 0.000  1.06
O: 0.574 0.139 0.139  0.12
O: 0.732 0.127 0.732  0.00
O: 0.139 0.574 0.139  0.12
Ac: 0.611 0.611 0.611  -0.01
Pa: 0.000 0.000 0.000  -0.03
O: 0.127 0.732 0.732  0.00
Co: 0.500 0.000 0.000  1.06
O: 0.861 0.426 0.861  0.12
O: 0.732 0.732 0.127  0.00
Ac: 0.389 0.389 0.389  -0.01
O: 0.139 0.139 0.574  0.12
Co: 0.000 0.000 0.500  1.06

Calculated values
Its spin magnetization is 4.04 μB per formula unit. The calculation puts the total energy at -126.81 eV for the cell shown.